(1)
! Tb2Pr7Sm2 GGA-PBE optimized geometry; values from VASP
! Final energy: -50.8 eV per formula unit
! Energy above the most stable polymorph in this dataset: 0 meV per atom
&SYSTEM
  ibrav = 0, nat = 11, ntyp = 3
/
ATOMIC_SPECIES
Tb 158.93 Tb.upf
Pr 140.91 Pr.upf
Sm 150.36 Sm.upf
ATOMIC_POSITIONS crystal
Tb 0.2122 0.7878 0.0000
Tb 0.7878 0.2122 0.0000
Pr 0.0122 0.5915 0.3291
Pr 0.3038 0.3038 0.0200
Pr 0.4085 0.9878 0.6709
Pr 0.5000 0.5000 0.5000
Pr 0.5915 0.0122 0.3291
Pr 0.6962 0.6962 0.9800
Pr 0.9878 0.4085 0.6709
Sm 0.0828 0.0828 0.3215
Sm 0.9172 0.9172 0.6785
CELL_PARAMETERS angstrom
4.3377 -5.5495 0.0000
4.3377 5.5495 0.0000
-2.0199 0.0000 8.1378

***

(2)
! LiCuNiH3 GGA-PBE optimized geometry; values from VASP
! Final energy: -22.7 eV per formula unit
&SYSTEM
  ibrav = 0, nat = 12, ntyp = 4
/
ATOMIC_SPECIES
Li 6.94 Li.upf
Cu 63.55 Cu.upf
Ni 58.69 Ni.upf
H 1.01 H.upf
ATOMIC_POSITIONS crystal
Li 0.0505 0.2500 0.3251
Li 0.9495 0.7500 0.6749
Cu 0.2783 0.2500 0.0020
Cu 0.7217 0.7500 0.9980
Ni 0.4746 0.2500 0.6633
Ni 0.5254 0.7500 0.3367
H 0.1902 0.2500 0.7341
H 0.2180 0.7500 0.1400
H 0.3445 0.7500 0.5162
H 0.6555 0.2500 0.4838
H 0.7820 0.2500 0.8600
H 0.8098 0.7500 0.2659
CELL_PARAMETERS angstrom
4.9302 0.0000 0.0000
0.0000 2.8629 0.0000
-1.8864 0.0000 6.3253

***

(3)
! ScMo4 GGA-PBE optimized geometry; values from VASP
! Final energy: -47.5 eV per formula unit
! Energy above the most stable polymorph in this dataset: 431 meV per atom
&SYSTEM
  ibrav = 0, nat = 5, ntyp = 2
/
ATOMIC_SPECIES
Sc 44.96 Sc.upf
Mo 95.94 Mo.upf
ATOMIC_POSITIONS crystal
Sc 0.0000 0.0000 0.0000
Mo 0.2500 0.7500 0.5000
Mo 0.3803 0.3803 0.0000
Mo 0.6197 0.6197 0.0000
Mo 0.7500 0.2500 0.5000
CELL_PARAMETERS angstrom
-2.1506 2.1506 5.2441
2.1506 -2.1506 5.2441
2.1506 2.1506 -5.2441

***

(4)
! Tl2SeF2 GGA-PBE optimized geometry; values from VASP
! Final energy: -17.6 eV per formula unit
! Formation energy from raw total energies: -1.124 eV/atom
&SYSTEM
  ibrav = 0, nat = 5, ntyp = 3
/
ATOMIC_SPECIES
Tl 204.38 Tl.upf
Se 78.96 Se.upf
F 19.00 F.upf
ATOMIC_POSITIONS crystal
Tl 0.1314 0.1314 0.0000
Tl 0.8686 0.8686 0.0000
Se 0.5000 0.5000 0.0000
F 0.2500 0.7500 0.5000
F 0.7500 0.2500 0.5000
CELL_PARAMETERS angstrom
-1.9610 1.9610 6.5896
1.9610 -1.9610 6.5896
1.9610 1.9610 -6.5896

***

(5)
! CrAg2Ru GGA-PBE optimized geometry; values from VASP
! Final energy: -22.6 eV per formula unit
! Energy above the most stable polymorph in this dataset: 227 meV per atom
&SYSTEM
  ibrav = 0, nat = 4, ntyp = 3
/
ATOMIC_SPECIES
Cr 52.00 Cr.upf
Ag 107.87 Ag.upf
Ru 101.07 Ru.upf
ATOMIC_POSITIONS crystal
Cr 0.0000 0.0000 0.0000
Ag 0.0000 0.5000 0.5000
Ag 0.5000 0.0000 0.5000
Ru 0.5000 0.5000 0.0000
CELL_PARAMETERS angstrom
3.7954 0.0000 0.0000
0.0000 3.7954 0.0000
0.0000 0.0000 4.3824

***

(6)
! CdSi2O2 GGA-PBE optimized geometry; values from VASP
! Final energy: -23.0 eV per formula unit
! Energy above the most stable polymorph in this dataset: 534 meV per atom
! Formation energy from raw total energies: -0.271 eV/atom
&SYSTEM
  ibrav = 0, nat = 10, ntyp = 3
/
ATOMIC_SPECIES
Cd 112.41 Cd.upf
Si 28.09 Si.upf
O 16.00 O.upf
ATOMIC_POSITIONS crystal
Cd 0.0000 0.0000 0.0000
Cd 0.5000 0.5000 0.0000
Si 0.1061 0.3939 0.0000
Si 0.3939 0.8939 0.0000
Si 0.6061 0.1061 0.0000
Si 0.8939 0.6061 0.0000
O 0.0987 0.5987 0.5000
O 0.4013 0.0987 0.5000
O 0.5987 0.9013 0.5000
O 0.9013 0.4013 0.5000
CELL_PARAMETERS angstrom
8.0278 0.0000 0.0000
0.0000 8.0278 0.0000
0.0000 0.0000 2.5832

***

(7)
! Ag4SbOs GGA-PBE optimized geometry; values from VASP
! Final energy: -22.3 eV per formula unit
! Formation energy from raw total energies: 0.748 eV/atom
&SYSTEM
  ibrav = 0, nat = 6, ntyp = 3
/
ATOMIC_SPECIES
Ag 107.87 Ag.upf
Sb 121.76 Sb.upf
Os 190.23 Os.upf
ATOMIC_POSITIONS crystal
Ag 0.1246 0.1246 0.1246
Ag 0.1246 0.1246 0.6263
Ag 0.1246 0.6263 0.1246
Ag 0.6263 0.1246 0.1246
Sb 0.5000 0.5000 0.5000
Os 0.7500 0.7500 0.7500
CELL_PARAMETERS angstrom
0.0000 3.8370 3.8370
3.8370 0.0000 3.8370
3.8370 3.8370 0.0000

***

(8)
! LuTiZnSn GGA-PBE optimized geometry; values from VASP
! Final energy: -18.6 eV per formula unit
&SYSTEM
  ibrav = 0, nat = 4, ntyp = 4
/
ATOMIC_SPECIES
Lu 174.97 Lu.upf
Ti 47.87 Ti.upf
Zn 65.41 Zn.upf
Sn 118.71 Sn.upf
ATOMIC_POSITIONS crystal
Lu 0.0000 0.0000 0.0000
Ti 0.5000 0.5000 0.5000
Zn 0.7500 0.7500 0.7500
Sn 0.2500 0.2500 0.2500
CELL_PARAMETERS angstrom
0.0000 3.4504 3.4504
3.4504 0.0000 3.4504
3.4504 3.4504 0.0000